No. 1
First-principles (PBE) data for an optimized crystal structure of Zr6Tl2Pb, as listed in the Alexandria database. Values from VASP.

Geometry as Quantum ESPRESSO input:
```
&SYSTEM
  ibrav = 0, nat = 18, ntyp = 3
/
ATOMIC_SPECIES
Zr 91.22 Zr.upf
Tl 204.38 Tl.upf
Pb 207.20 Pb.upf
CELL_PARAMETERS angstrom
8.835 0.000 0.000
0.000 9.371 0.000
0.000 0.000 5.060
ATOMIC_POSITIONS crystal
Zr 0.002 0.166 0.000
Zr 0.166 0.413 0.500
Zr 0.168 0.073 0.500
Zr 0.332 0.573 0.000
Zr 0.334 0.913 0.000
Zr 0.498 0.666 0.500
Zr 0.502 0.334 0.500
Zr 0.666 0.087 0.000
Zr 0.668 0.427 0.000
Zr 0.832 0.927 0.500
Zr 0.834 0.587 0.500
Zr 0.998 0.834 0.000
Tl 0.166 0.747 0.500
Tl 0.334 0.247 0.000
Tl 0.666 0.753 0.000
Tl 0.834 0.253 0.500
Pb 0.000 0.500 0.000
Pb 0.500 0.000 0.500
```

Calculated values
For the total energy, the calculation gives -120.60 eV per cell. The calculation puts the spin magnetization at 0.0000 μB per atom.

***

No. 2
First-principles (PBE) data for an optimized crystal structure of ZrTlPb2, as listed in the Alexandria database. Values from VASP.

Geometry as Quantum ESPRESSO input:
```
&SYSTEM
  ibrav = 0, nat = 4, ntyp = 3
/
ATOMIC_SPECIES
Zr 91.22 Zr.upf
Tl 204.38 Tl.upf
Pb 207.20 Pb.upf
CELL_PARAMETERS angstrom
3.677 -4.357 0.000
3.677 4.357 0.000
0.000 0.000 3.342
ATOMIC_POSITIONS crystal
Zr 0.000 0.000 0.000
Tl 0.500 0.500 0.000
Pb 0.000 0.500 0.500
Pb 0.500 0.000 0.500
```

Calculated values
The calculation puts the excess energy over the best structure of this formula in the dataset at 78 meV per atom. For the total energy, the calculation gives -18.11 eV per cell. The calculation puts the spin magnetization at 0.0000 μB per atom.

***

No. 3
First-principles (PBE) data for an optimized crystal structure of Zr4TlPb, as listed in the Alexandria database. Values from VASP.

Geometry as Quantum ESPRESSO input:
```
&SYSTEM
  ibrav = 0, nat = 6, ntyp = 3
/
ATOMIC_SPECIES
Zr 91.22 Zr.upf
Tl 204.38 Tl.upf
Pb 207.20 Pb.upf
CELL_PARAMETERS angstrom
4.160 -4.187 0.000
4.160 4.187 0.000
0.000 0.000 5.142
ATOMIC_POSITIONS crystal
Zr 0.168 0.832 0.000
Zr 0.330 0.330 0.500
Zr 0.670 0.670 0.500
Zr 0.832 0.168 0.000
Tl 0.000 0.000 0.500
Pb 0.500 0.500 0.000
```

Calculated values
The calculation puts the excess energy over the best structure of this formula in the dataset at 927 meV per atom. For the total energy, the calculation gives -35.48 eV per cell. The calculation puts the spin magnetization at 0.1410 μB per atom.

***

No. 4
First-principles (PBE) data for an optimized crystal structure of Zr4TlPb, as listed in the Alexandria database. Values from VASP.

Geometry as Quantum ESPRESSO input:
```
&SYSTEM
  ibrav = 0, nat = 6, ntyp = 3
/
ATOMIC_SPECIES
Zr 91.22 Zr.upf
Tl 204.38 Tl.upf
Pb 207.20 Pb.upf
CELL_PARAMETERS angstrom
0.000 4.169 4.169
4.169 0.000 4.169
4.169 4.169 0.000
ATOMIC_POSITIONS crystal
Zr 0.125 0.125 0.125
Zr 0.125 0.125 0.625
Zr 0.125 0.625 0.125
Zr 0.625 0.125 0.125
Tl 0.500 0.500 0.500
Pb 0.750 0.750 0.750
```

Calculated values
The calculation puts the excess energy over the best structure of this formula in the dataset at 342 meV per atom. For the total energy, the calculation gives -38.99 eV per cell. The calculation puts the spin magnetization at 0.0000 μB per atom.

***

No. 5
First-principles (PBE) data for an optimized crystal structure of Zr2TlPb, as listed in the Alexandria database. Values from VASP.

Geometry as Quantum ESPRESSO input:
```
&SYSTEM
  ibrav = 0, nat = 4, ntyp = 3
/
ATOMIC_SPECIES
Zr 91.22 Zr.upf
Tl 204.38 Tl.upf
Pb 207.20 Pb.upf
CELL_PARAMETERS angstrom
2.302 -2.318 0.000
2.302 2.318 0.000
0.000 0.000 8.791
ATOMIC_POSITIONS crystal
Zr 0.000 0.000 0.243
Zr 0.000 0.000 0.757
Tl 0.500 0.500 0.000
Pb 0.500 0.500 0.500
```

Calculated values
The calculation puts the excess energy over the best structure of this formula in the dataset at 11 meV per atom. For the total energy, the calculation gives -23.53 eV per cell. The calculation puts the spin magnetization at 0.0000 μB per atom.

***

No. 6
First-principles (PBE) data for an optimized crystal structure of ZrTlPb2, as listed in the Alexandria database. Values from VASP.

Geometry as Quantum ESPRESSO input:
```
&SYSTEM
  ibrav = 0, nat = 4, ntyp = 3
/
ATOMIC_SPECIES
Zr 91.22 Zr.upf
Tl 204.38 Tl.upf
Pb 207.20 Pb.upf
CELL_PARAMETERS angstrom
2.231 -2.492 0.000
2.231 2.492 0.000
0.000 0.000 9.779
ATOMIC_POSITIONS crystal
Zr 0.000 0.000 0.000
Tl 0.500 0.500 0.223
Pb 0.000 0.000 0.481
Pb 0.500 0.500 0.769
```

Calculated values
The calculation puts the excess energy over the best structure of this formula in the dataset at 76 meV per atom. For the total energy, the calculation gives -18.12 eV per cell. The calculation puts the spin magnetization at 0.0000 μB per atom.

***

No. 7
First-principles (PBE) data for an optimized crystal structure of Zr2Tl2Pb, as listed in the Alexandria database. Values from VASP.

Geometry as Quantum ESPRESSO input:
```
&SYSTEM
  ibrav = 0, nat = 5, ntyp = 3
/
ATOMIC_SPECIES
Zr 91.22 Zr.upf
Tl 204.38 Tl.upf
Pb 207.20 Pb.upf
CELL_PARAMETERS angstrom
-2.123 2.123 7.593
2.123 -2.123 7.593
2.123 2.123 -7.593
ATOMIC_POSITIONS crystal
Zr 0.250 0.750 0.500
Zr 0.750 0.250 0.500
Tl 0.100 0.100 0.000
Tl 0.900 0.900 0.000
Pb 0.500 0.500 0.000
```

Calculated values
The calculation puts the excess energy over the best structure of this formula in the dataset at 316 meV per atom. For the total energy, the calculation gives -23.82 eV per cell. The calculation puts the spin magnetization at 0.0000 μB per atom.

***

No. 8
First-principles (PBE) data for an optimized crystal structure of ZrTlPb2, as listed in the Alexandria database. Values from VASP.

Geometry as Quantum ESPRESSO input:
```
&SYSTEM
  ibrav = 0, nat = 4, ntyp = 3
/
ATOMIC_SPECIES
Zr 91.22 Zr.upf
Tl 204.38 Tl.upf
Pb 207.20 Pb.upf
CELL_PARAMETERS angstrom
1.673 0.966 11.674
-1.673 0.966 11.674
0.000 -1.932 11.674
ATOMIC_POSITIONS crystal
Zr 0.000 0.000 0.000
Tl 0.500 0.500 0.500
Pb 0.257 0.257 0.257
Pb 0.743 0.743 0.743
```

Calculated values
The calculation puts the excess energy over the best structure of this formula in the dataset at 45 meV per atom. For the total energy, the calculation gives -18.24 eV per cell. The calculation puts the spin magnetization at 0.0000 μB per atom.

***

No. 9
First-principles (PBE) data for an optimized crystal structure of Zr2TlPb, as listed in the Alexandria database. Values from VASP.

Geometry as Quantum ESPRESSO input:
```
&SYSTEM
  ibrav = 0, nat = 4, ntyp = 3
/
ATOMIC_SPECIES
Zr 91.22 Zr.upf
Tl 204.38 Tl.upf
Pb 207.20 Pb.upf
CELL_PARAMETERS angstrom
3.979 0.000 0.000
0.000 3.979 0.000
0.000 0.000 6.214
ATOMIC_POSITIONS crystal
Zr 0.000 0.000 0.000
Zr 0.500 0.500 0.235
Tl 0.500 0.500 0.752
Pb 0.000 0.000 0.484
```

Calculated values
The calculation puts the excess energy over the best structure of this formula in the dataset at 91 meV per atom. For the total energy, the calculation gives -23.21 eV per cell. The calculation puts the spin magnetization at 0.0000 μB per atom.

***

No. 10
First-principles (PBE) data for an optimized crystal structure of Zr7Tl2Pb2, as listed in the Alexandria database. Values from VASP.

Geometry as Quantum ESPRESSO input:
```
&SYSTEM
  ibrav = 0, nat = 11, ntyp = 3
/
ATOMIC_SPECIES
Zr 91.22 Zr.upf
Tl 204.38 Tl.upf
Pb 207.20 Pb.upf
CELL_PARAMETERS angstrom
5.671 -4.527 0.000
5.671 4.527 0.000
-1.815 0.000 5.303
ATOMIC_POSITIONS crystal
Zr 0.000 0.000 0.000
Zr 0.049 0.390 0.273
Zr 0.390 0.049 0.273
Zr 0.490 0.490 0.735
Zr 0.510 0.510 0.265
Zr 0.610 0.951 0.727
Zr 0.951 0.610 0.727
Tl 0.197 0.803 0.500
Tl 0.803 0.197 0.500
Pb 0.246 0.246 0.818
Pb 0.754 0.754 0.182
```

Calculated values
For the total energy, the calculation gives -69.95 eV per cell. The calculation puts the spin magnetization at 0.0000 μB per atom.

***

No. 11
First-principles (PBE) data for an optimized crystal structure of Zr4TlPb, as listed in the Alexandria database. Values from VASP.

Geometry as Quantum ESPRESSO input:
```
&SYSTEM
  ibrav = 0, nat = 6, ntyp = 3
/
ATOMIC_SPECIES
Zr 91.22 Zr.upf
Tl 204.38 Tl.upf
Pb 207.20 Pb.upf
CELL_PARAMETERS angstrom
5.392 -1.774 0.000
5.392 1.774 0.000
-2.848 0.000 7.298
ATOMIC_POSITIONS crystal
Zr 0.165 0.165 0.332
Zr 0.165 0.165 0.833
Zr 0.835 0.835 0.167
Zr 0.835 0.835 0.668
Tl 0.500 0.500 0.000
Pb 0.500 0.500 0.500
```

Calculated values
The calculation puts the excess energy over the best structure of this formula in the dataset at 0 meV per atom. For the total energy, the calculation gives -41.04 eV per cell. The calculation puts the spin magnetization at 0.0000 μB per atom.

***

No. 12
First-principles (PBE) data for an optimized crystal structure of ZrTlPb2, as listed in the Alexandria database. Values from VASP.

Geometry as Quantum ESPRESSO input:
```
&SYSTEM
  ibrav = 0, nat = 4, ntyp = 3
/
ATOMIC_SPECIES
Zr 91.22 Zr.upf
Tl 204.38 Tl.upf
Pb 207.20 Pb.upf
CELL_PARAMETERS angstrom
1.690 0.976 11.397
-1.690 0.976 11.397
0.000 -1.952 11.397
ATOMIC_POSITIONS crystal
Zr 0.000 0.000 0.000
Tl 0.835 0.835 0.835
Pb 0.409 0.409 0.409
Pb 0.591 0.591 0.591
```

Calculated values
The calculation puts the excess energy over the best structure of this formula in the dataset at 29 meV per atom. For the total energy, the calculation gives -18.30 eV per cell. The calculation puts the spin magnetization at 0.0000 μB per atom.